# Sr3SiPt3 | the Alexandria database | PBE-GGA | optimized geometry
data_Sr3SiPt3
_chemical_formula_sum 'Sr6 Si2 Pt6'
_cell_length_a 6.0805
_cell_length_b 6.0805
_cell_length_c 15.3194
_cell_angle_alpha 107.97
_cell_angle_beta 107.97
_cell_angle_gamma 41.66
_space_group_name_H-M_alt 'P 1'
_space_group_IT_number 1
loop_
_space_group_symop_operation_xyz
'x,y,z'
loop_
_atom_site_label
_atom_site_fract_x
_atom_site_fract_y
_atom_site_fract_z
_atom_site_occupancy
Sr1 0.0087 0.0087 0.3837 1
Sr2 0.1037 0.1037 0.9244 1
Sr3 0.2418 0.2418 0.2236 1
Sr4 0.7582 0.7582 0.7764 1
Sr5 0.8963 0.8963 0.0756 1
Sr6 0.9913 0.9913 0.6163 1
Si1 0.2745 0.2745 0.6089 1
Si2 0.7255 0.7255 0.3911 1
Pt1 0.3015 0.3015 0.4555 1
Pt2 0.3926 0.3926 0.9217 1
Pt3 0.4420 0.4420 0.7532 1
Pt4 0.5580 0.5580 0.2468 1
Pt5 0.6074 0.6074 0.0783 1
Pt6 0.6985 0.6985 0.5445 1
# Space-group type: No. 12
# Raw formation energy in eV/atom: -0.87
# Total DFT energy (no corrections) in eV/atom: -4.951
# V in Å³/cell: 355
# DOS(E_F) in states/eV/atom: 0.412